VASP calculation (PBE-GGA) on an optimized crystal structure of LaGd2O.

Cell: 9.3123 9.3123 9.3123 Å, 22.23 22.23 22.23°
Last column: nearest neighbours and their distance in Å.
Atoms (fractional coordinates):
La 0.0000 0.0000 0.0000  6 La 3.59, 6 Gd 3.78
Gd 0.2172 0.2172 0.2172  3 O 2.49
Gd 0.7828 0.7828 0.7828  3 O 2.49
O 0.5000 0.5000 0.5000  6 Gd 2.49

Fermi-level density of states: 5.2 states/eV/cell
electronic total energy: -10.824 eV/atom
spin magnetization: 14.174 μB per cell
space group: R-3m